Entry 1:
The following is a GGA-PBEsol calculation of a geometry-optimized Sr2HfTeW structure, from Alexandria via LeMat-Bulk.

abc: 6.075 6.075 4.703
angles: 90.00 90.00 90.00
Space group P4/mmm (No. 123)
Asymmetric unit:
1 Sr 0.000 0.500 0.000
2 Hf 0.000 0.000 0.000
3 Te 0.500 0.500 0.500
4 W 0.000 0.000 0.500

Output
ΔE_f (raw) = 5.240 eV/f.u.
size of the total moment = 0.61 μB per cell
crystal system = tetragonal

---

Entry 2:
The following is a GGA-PBEsol calculation of a geometry-optimized SrHfTi2 structure, from Alexandria via LeMat-Bulk.

abc: 7.093 7.093 7.093
angles: 90.00 90.00 90.00
Space group Fm-3m (No. 225)
Asymmetric unit:
1 Sr 0.000 0.000 0.000
2 Hf 0.000 0.000 0.500
3 Ti 0.250 0.250 0.250

Output
size of the total moment = 10.30 μB per cell
crystal system = cubic
ΔE_f = 0.731 eV/atom